Density functional theory data (GGA-PBE) for crystalline GdTmInRu at its relaxed geometry.

Lattice parameters (Å, degrees): 5.0510 5.0510 5.0510 60.00 60.00 60.00
With the nearest neighbours (Å) after each atom.
Fractional coordinates of all 4 atoms:
Gd1 0.5000 0.5000 0.5000  4 In 3.09, 4 Ru 3.09
Tm1 0.0000 0.0000 0.0000  4 Ru 3.09, 4 In 3.09
Ru1 0.7500 0.7500 0.7500  4 Gd 3.09, 4 Tm 3.09
In1 0.2500 0.2500 0.2500  4 Gd 3.09, 4 Tm 3.09

## Properties
Electronic total energy in eV/atom: -7.972
Magnetic moment in μB/atom: 1.77